1.
A relaxed NdZrPd2 crystal, computed with PBE.

The value obtained for the density is 8.22 g/cm3. For the formation energy, the calculation gives -0.614 eV per atom.

a b c (Å): 4.6579 4.6579 14.4612
angles (deg): 90.00 90.00 120.00
Space group R-3m (No. 166, hexagonal axes)
Unique sites:
Nd1 0.0000 0.0000 0.0000
Zr1 0.0000 0.0000 0.5000
Pd1 0.0000 0.0000 0.2138

---

2.
A relaxed Sc3AlPt crystal, computed with PBE.

The value obtained for the density is 4.60 g/cm3. For the formation energy, the calculation gives -0.220 eV per atom. For the energy above the lowest structure with this stoichiometry, the calculation gives 0.0 meV per atom.

a b c (Å): 5.050 5.050 5.050
angles (deg): 90.00 90.00 90.00
Space group Pm-3m (No. 221)
Unique sites:
Sc1 0.000 0.000 0.500
Al1 0.500 0.500 0.500
Pt1 0.000 0.000 0.000

---

3.
A relaxed PrHo3In crystal, computed with PBE.

The value obtained for the density is 7.44 g/cm3. For the formation energy, the calculation gives 0.065 eV per atom. For the energy above the lowest structure with this stoichiometry, the calculation gives 234.9 meV per atom.

a b c (Å): 8.0243 8.0243 6.0063
angles (deg): 90.00 90.00 120.00
Space group P6_3/mmc (No. 194)
Unique sites:
Pr1 0.3333 0.6667 0.2500
Ho1 0.1931 0.3862 0.7500
In1 0.0000 0.0000 0.0000

---

4.
A relaxed Na2Tb3PrTe6 crystal, computed with PBE.

The value obtained for the density is 6.31 g/cm3. The calculation puts the uncorrected formation energy at -1.338 eV per atom.

a b c (Å): 7.670 13.277 7.818
angles (deg): 90.00 109.10 90.00
Space group C2/m (No. 12)
Unique sites:
Na1 0.000 0.167 0.000
Tb1 0.000 0.000 0.500
Tb2 0.000 0.333 0.500
Pr1 0.000 0.500 0.000
Te1 0.246 0.168 0.742
Te2 0.249 0.500 0.741

---

5.
A relaxed Cd2Co2Ru crystal, computed with PBE.

The value obtained for the density is 9.31 g/cm3. For the formation energy, the calculation gives 0.396 eV per atom.

a b c (Å): 6.137 6.137 4.203
angles (deg): 90.00 90.00 90.00
Space group P4/mbm (No. 127)
Unique sites:
Cd1 0.180 0.320 0.000
Co1 0.126 0.626 0.500
Ru1 0.000 0.000 0.500

---

6.
A relaxed HgI2Br8 crystal, computed with PBE.

The value obtained for the density is 3.53 g/cm3. The calculation puts the uncorrected formation energy at -0.114 eV per atom.

a b c (Å): 15.417 8.026 10.032
angles (deg): 90.00 124.10 90.00
Space group C2/m (No. 12)
Unique sites:
Hg1 0.000 0.000 0.000
I1 0.188 0.000 0.771
Br1 0.052 0.500 0.269
Br2 0.068 0.252 0.753
Br3 0.183 0.000 0.229

---

7.
A relaxed TaSnGeTe2 crystal, computed with PBE.

The value obtained for the density is 6.09 g/cm3. The calculation puts the uncorrected formation energy at 1.401 eV per atom.

a b c (Å): 5.664 5.664 5.332
angles (deg): 90.00 90.00 90.00
Space group P4/mmm (No. 123)
Unique sites:
Ta1 0.000 0.000 0.000
Sn1 0.000 0.000 0.500
Ge1 0.500 0.500 0.000
Te1 0.000 0.500 0.500

---

8.
A relaxed H2Ir2Pb crystal, computed with PBE.

The value obtained for the density is 16.34 g/cm3. The value obtained for the total energy is -51.5 eV for the cell shown.

a b c (Å): 3.423 3.423 10.299
angles (deg): 90.00 90.00 90.00
Space group I4/mmm (No. 139)
Unique sites:
H1 0.000 0.500 0.250
Ir1 0.000 0.000 0.160
Pb1 0.000 0.000 0.500

---

9.
A relaxed AlFe4P crystal, computed with PBE.

The value obtained for the density is 6.29 g/cm3. For the formation energy, the calculation gives 0.132 eV per atom.

a b c (Å): 6.673 6.673 6.673
angles (deg): 90.00 90.00 90.00
Space group F-43m (No. 216)
Unique sites:
Al1 0.000 0.000 0.000
Fe1 0.125 0.125 0.625
P1 0.250 0.250 0.250

---

10.
A relaxed PmAl3Pd4 crystal, computed with PBE.

The value obtained for the density is 7.74 g/cm3. For the formation energy, the calculation gives -0.871 eV per atom.

a b c (Å): 4.3205 4.3205 25.9528
angles (deg): 90.00 90.00 120.00
Space group R-3m (No. 166, hexagonal axes)
Unique sites:
Pm1 0.0000 0.0000 0.0000
Al1 0.0000 0.0000 0.2394
Al2 0.0000 0.0000 0.5000
Pd1 0.0000 0.0000 0.1346
Pd2 0.0000 0.0000 0.4038

---

11.
A relaxed TiTc2HOs crystal, computed with PBE.

The value obtained for the density is 11.83 g/cm3. The value obtained for the total energy is -43.7 eV for the cell shown.

a b c (Å): 3.913 3.913 3.987
angles (deg): 90.00 90.00 90.00
Space group P4/mmm (No. 123)
Unique sites:
Ti1 0.000 0.000 0.000
Tc1 0.000 0.500 0.500
H1 0.000 0.000 0.500
Os1 0.500 0.500 0.000

---

12.
A relaxed SrHoZnGe crystal, computed with PBE.

The value obtained for the density is 6.46 g/cm3. For the formation energy, the calculation gives -0.363 eV per atom.

a b c (Å): 7.377 7.377 7.377
angles (deg): 90.00 90.00 90.00
Space group F-43m (No. 216)
Unique sites:
Sr1 0.000 0.000 0.000
Ho1 0.000 0.000 0.500
Zn1 0.250 0.250 0.750
Ge1 0.250 0.250 0.250